(1)
The following is a DFT calculation (PBE) of CoMo2W after structural relaxation.

Geometry as CIF:
```
data_CoMo2W
_cell_length_a 2.668
_cell_length_b 2.668
_cell_length_c 8.251
_cell_angle_alpha 90.00
_cell_angle_beta 90.00
_cell_angle_gamma 90.00
_symmetry_space_group_name_H-M 'P 4/m m m'
_symmetry_Int_Tables_number 123
_symmetry_space_group_name_Hall '-P 4 2'
loop_
_atom_site_label
_atom_site_type_symbol
_atom_site_fract_x
_atom_site_fract_y
_atom_site_fract_z
Co1 Co 0.000 0.000 0.000
Mo1 Mo 0.500 0.500 0.220
W1 W 0.000 0.000 0.500
```

Properties
Calculated volume = 14.68 Å³ per atom
Energy relative to the lowest polymorph listed for this composition = 7.19 kJ per mole of atoms
E_form = 149 meV/atom

***

(2)
The following is a DFT calculation (PBE) of La2SmDyH after structural relaxation.

Geometry as CIF:
```
data_La2SmDyH
_cell_length_a 5.216
_cell_length_b 5.216
_cell_length_c 5.080
_cell_angle_alpha 90.00
_cell_angle_beta 90.00
_cell_angle_gamma 90.00
_symmetry_space_group_name_H-M 'P 4/m m m'
_symmetry_Int_Tables_number 123
_symmetry_space_group_name_Hall '-P 4 2'
loop_
_atom_site_label
_atom_site_type_symbol
_atom_site_fract_x
_atom_site_fract_y
_atom_site_fract_z
La1 La 0.000 0.500 0.000
Sm1 Sm 0.000 0.000 0.500
Dy1 Dy 0.500 0.500 0.500
H1 H 0.500 0.500 0.000
```

Properties
Calculated volume = 27.64 Å³ per atom
Total DFT energy (no corrections) = -4.6778 eV/atom

***

(3)
The following is a DFT calculation (PBE) of Ga2CuTe4 after structural relaxation.

Geometry as CIF:
```
data_Ga2CuTe4
_cell_length_a 5.809
_cell_length_b 5.809
_cell_length_c 12.475
_cell_angle_alpha 90.00
_cell_angle_beta 90.00
_cell_angle_gamma 90.00
_symmetry_space_group_name_H-M 'I -4 2 m'
_symmetry_Int_Tables_number 121
_symmetry_space_group_name_Hall 'I -4 2'
loop_
_atom_site_label
_atom_site_type_symbol
_atom_site_fract_x
_atom_site_fract_y
_atom_site_fract_z
Ga1 Ga 0.000 0.500 0.250
Cu1 Cu 0.000 0.000 0.000
Te1 Te 0.235 0.235 0.385
```

Properties
Calculated volume = 30.07 Å³ per atom
Energy relative to the lowest polymorph listed for this composition = 0.00 kJ per mole of atoms
E_form (uncorrected) = -0.24 eV per atom

***

(4)
The following is a DFT calculation (PBE) of Ce2TlH after structural relaxation.

Geometry as CIF:
```
data_Ce2TlH
_cell_length_a 5.459
_cell_length_b 5.459
_cell_length_c 3.439
_cell_angle_alpha 90.00
_cell_angle_beta 90.00
_cell_angle_gamma 90.00
_symmetry_space_group_name_H-M 'P 4/m m m'
_symmetry_Int_Tables_number 123
_symmetry_space_group_name_Hall '-P 4 2'
loop_
_atom_site_label
_atom_site_type_symbol
_atom_site_fract_x
_atom_site_fract_y
_atom_site_fract_z
Ce1 Ce 0.000 0.500 0.000
Tl1 Tl 0.000 0.000 0.500
H1 H 0.500 0.500 0.500
```

Properties
Calculated volume = 25.62 Å³ per atom
Energy relative to the lowest polymorph listed for this composition = 46.43 kJ per mole of atoms

***

(5)
The following is a DFT calculation (PBE) of In3FeRe after structural relaxation.

Geometry as CIF:
```
data_In3FeRe
_cell_length_a 4.923
_cell_length_b 4.923
_cell_length_c 4.923
_cell_angle_alpha 90.00
_cell_angle_beta 90.00
_cell_angle_gamma 90.00
_symmetry_space_group_name_H-M 'P m -3 m'
_symmetry_Int_Tables_number 221
_symmetry_space_group_name_Hall '-P 4 2 3'
loop_
_atom_site_label
_atom_site_type_symbol
_atom_site_fract_x
_atom_site_fract_y
_atom_site_fract_z
In1 In 0.000 0.000 0.500
Fe1 Fe 0.000 0.000 0.000
Re1 Re 0.500 0.500 0.500
```

Properties
Calculated volume = 23.87 Å³ per atom
Energy relative to the lowest polymorph listed for this composition = 10.78 kJ per mole of atoms
E_form = 1217 meV/atom

***

(6)
The following is a DFT calculation (PBE) of SrFe2Pb after structural relaxation.

Geometry as CIF:
```
data_SrFe2Pb
_cell_length_a 4.657
_cell_length_b 4.657
_cell_length_c 18.252
_cell_angle_alpha 90.00
_cell_angle_beta 90.00
_cell_angle_gamma 90.00
_symmetry_space_group_name_H-M 'I 41/a m d'
_symmetry_Int_Tables_number 141
loop_
_symmetry_equiv_pos_as_xyz
'x,y,z'
'-x,-y,-z'
'-y+1/4,x+3/4,z+1/4'
'y+1/4,-x+3/4,-z+1/4'
'-x+1/2,-y,z+1/2'
'x+1/2,y,-z+1/2'
'y+1/4,-x+1/4,z+3/4'
'-y+1/4,x+1/4,-z+3/4'
'x,-y,-z'
'-x,y,z'
'-y+1/4,-x+1/4,-z+3/4'
'y+1/4,x+1/4,z+3/4'
'-x+1/2,y,-z+1/2'
'x+1/2,-y,z+1/2'
'y+1/4,x+3/4,-z+1/4'
'-y+1/4,-x+3/4,z+1/4'
'x+1/2,y+1/2,z+1/2'
'-x+1/2,-y+1/2,-z+1/2'
'-y+3/4,x+1/4,z+3/4'
'y+3/4,-x+1/4,-z+3/4'
'-x,-y+1/2,z'
'x,y+1/2,-z'
'y+3/4,-x+3/4,z+1/4'
'-y+3/4,x+3/4,-z+1/4'
'x+1/2,-y+1/2,-z+1/2'
'-x+1/2,y+1/2,z+1/2'
'-y+3/4,-x+3/4,-z+1/4'
'y+3/4,x+3/4,z+1/4'
'-x,y+1/2,-z'
'x,-y+1/2,z'
'y+3/4,x+1/4,-z+3/4'
'-y+3/4,-x+1/4,z+3/4'
loop_
_atom_site_label
_atom_site_type_symbol
_atom_site_fract_x
_atom_site_fract_y
_atom_site_fract_z
Sr1 Sr 0.000 0.250 0.375
Fe1 Fe 0.000 0.000 0.000
Pb1 Pb 0.000 0.250 0.875
```

Properties
Calculated volume = 24.74 Å³ per atom
E_form = 791 meV/atom

***

(7)
The following is a DFT calculation (PBE) of Sr2CrNi after structural relaxation.

Geometry as CIF:
```
data_Sr2CrNi
_cell_length_a 4.554
_cell_length_b 4.554
_cell_length_c 10.517
_cell_angle_alpha 90.00
_cell_angle_beta 90.00
_cell_angle_gamma 90.00
_symmetry_space_group_name_H-M 'I -4 m 2'
_symmetry_Int_Tables_number 119
_symmetry_space_group_name_Hall 'I -4 -2'
loop_
_atom_site_label
_atom_site_type_symbol
_atom_site_fract_x
_atom_site_fract_y
_atom_site_fract_z
Sr1 Sr 0.000 0.000 0.000
Sr2 Sr 0.000 0.500 0.250
Cr1 Cr 0.000 0.500 0.750
Ni1 Ni 0.000 0.000 0.500
```

Properties
Calculated volume = 27.26 Å³ per atom
Energy relative to the lowest polymorph listed for this composition = 31.05 kJ per mole of atoms
E_form = 633 meV/atom

***

(8)
The following is a DFT calculation (PBE) of ReBiTe2As after structural relaxation.

Geometry as CIF:
```
data_ReBiTe2As
_cell_length_a 5.112
_cell_length_b 5.112
_cell_length_c 5.512
_cell_angle_alpha 90.00
_cell_angle_beta 90.00
_cell_angle_gamma 90.00
_symmetry_space_group_name_H-M 'P 4/m m m'
_symmetry_Int_Tables_number 123
_symmetry_space_group_name_Hall '-P 4 2'
loop_
_atom_site_label
_atom_site_type_symbol
_atom_site_fract_x
_atom_site_fract_y
_atom_site_fract_z
Re1 Re 0.000 0.000 0.000
Bi1 Bi 0.000 0.000 0.500
Te1 Te 0.000 0.500 0.000
As1 As 0.500 0.500 0.500
```

Properties
Calculated volume = 28.81 Å³ per atom
E_form (uncorrected) = 0.85 eV per atom